(1)
Density functional theory data (PBE) for crystalline Cu2PbSe3 at its relaxed geometry.

Cell and atoms, written as extended XYZ:
```
6
Lattice="0.0914 -5.5515 4.5591 3.9298 5.9974 -0.4474 -6.1233 -2.9964 2.2671" Properties=species:S:1:pos:R:3 pbc="T T T"
Pb 0.9404 0.1043 0.9615
Cu -3.0146 -5.6312 5.6531
Cu -0.9362 -2.6859 3.3010
Se -1.0813 -0.9606 4.9872
Se 2.6896 4.3832 0.7198
Se -2.7657 -4.2462 3.6689
```

Calculated values
Electronic total energy (eV/atom): -3.821

=====

(2)
Density functional theory data (PBE) for crystalline SmCuPbSe3 at its relaxed geometry.

Cell and atoms, written as extended XYZ:
```
12
Lattice="-7.8107 -1.8344 0.3704 0.6032 -3.0958 -2.6112 4.1062 -5.3302 7.2681" Properties=species:S:1:pos:R:3 pbc="T T T"
Pb -2.3071 -6.3752 5.4203
Pb -0.7942 -3.8851 -0.3929
Sm -4.4583 -5.6063 0.8012
Sm 1.3569 -4.6541 4.2262
Cu -3.9851 -2.2847 0.1828
Cu 0.8838 -7.9757 4.8445
Se -5.2091 -3.8895 -1.4077
Se -4.1424 -7.4688 3.0823
Se -0.3227 -6.7108 3.0662
Se -2.7787 -3.5495 1.9612
Se 1.0411 -2.7916 1.9450
Se 2.1078 -6.3709 6.4350
```

Calculated values
Electronic total energy (eV/atom): -4.753

=====

| no. | V (Å³ per cell) |
| --- | --- |
| 1 | 149 |
| 2 | 316 |